# 1
A plane-wave DFT calculation with PBE-GGA was carried out for ErZrRh5 after structural relaxation.

Cell lengths 3.966, 3.966, 8.016 Å; angles 90.00, 90.00, 90.00 degrees
Positions (direct):
Er 0.000 0.000 0.000
Zr 0.500 0.500 0.500
Rh 0.000 0.000 0.500
Rh 0.000 0.500 0.259
Rh 0.000 0.500 0.741
Rh 0.500 0.000 0.259
Rh 0.500 0.000 0.741

## Properties
Total moment: 0.00 μB per atom
Formation energy from the elements: -0.4085 eV per atom
Space-group type: P4/mmm

***

# 2
A plane-wave DFT calculation with PBE-GGA was carried out for Er2ZrRh3 after structural relaxation.

Cell lengths 4.752, 4.752, 11.691 Å; angles 90.00, 90.00, 120.00 degrees
Positions (direct):
Er 0.000 0.000 0.000
Er 0.000 0.000 0.500
Er 0.333 0.667 0.167
Er 0.667 0.333 0.833
Zr 0.333 0.667 0.666
Zr 0.667 0.333 0.334
Rh 0.000 0.000 0.258
Rh 0.000 0.000 0.742
Rh 0.333 0.667 0.416
Rh 0.333 0.667 0.907
Rh 0.667 0.333 0.093
Rh 0.667 0.333 0.584

## Properties
Total moment: 0.00 μB per atom
Formation energy from the elements: -0.8719 eV per atom
Space-group type: P-3m1

***

# 3
A plane-wave DFT calculation with PBE-GGA was carried out for Er4ZrRh3 after structural relaxation.

Cell lengths 8.221, 8.221, 8.221 Å; angles 97.47, 97.47, 137.74 degrees
Positions (direct):
Er 0.081 0.787 0.867
Er 0.213 0.081 0.294
Er 0.287 0.581 0.867
Er 0.419 0.287 0.706
Er 0.581 0.713 0.294
Er 0.713 0.419 0.133
Er 0.787 0.919 0.706
Er 0.919 0.213 0.133
Zr 0.250 0.750 0.500
Zr 0.750 0.250 0.500
Rh 0.156 0.344 0.500
Rh 0.250 0.250 0.000
Rh 0.344 0.844 0.188
Rh 0.656 0.156 0.812
Rh 0.750 0.750 0.000
Rh 0.844 0.656 0.500

## Properties
Total moment: 0.00 μB per atom
Formation energy from the elements: -0.7239 eV per atom
Space-group type: I4/mcm

***

# 4
A plane-wave DFT calculation with PBE-GGA was carried out for Er2ZrRh4 after structural relaxation.

Cell lengths 7.086, 7.086, 7.086 Å; angles 141.44, 141.44, 55.67 degrees
Positions (direct):
Er 0.231 0.231 0.000
Er 0.769 0.769 0.000
Zr 0.500 0.500 0.000
Rh 0.117 0.617 0.500
Rh 0.383 0.883 0.500
Rh 0.617 0.117 0.500
Rh 0.883 0.383 0.500

## Properties
Total moment: 0.00 μB per atom
Formation energy from the elements: -0.5831 eV per atom
Space-group type: I4/mmm

***

# 5
A plane-wave DFT calculation with PBE-GGA was carried out for Er3Ru after structural relaxation.

Cell lengths 8.699, 8.699, 8.699 Å; angles 96.93, 96.93, 139.36 degrees
Positions (direct):
Er 0.107 0.414 0.500
Er 0.108 0.250 0.858
Er 0.248 0.749 0.906
Er 0.251 0.157 0.500
Er 0.392 0.250 0.142
Er 0.393 0.893 0.307
Er 0.586 0.086 0.693
Er 0.658 0.752 0.500
Er 0.750 0.608 0.858
Er 0.750 0.892 0.142
Er 0.843 0.342 0.094
Er 0.914 0.607 0.500
Ru 0.250 0.038 0.788
Ru 0.250 0.462 0.212
Ru 0.538 0.750 0.788
Ru 0.962 0.750 0.212

## Properties
Total moment: 0.00 μB per atom
Formation energy from the elements: -0.2978 eV per atom
Space-group type: I-4

***

# 6
A plane-wave DFT calculation with PBE-GGA was carried out for Er5Ru4 after structural relaxation.

Cell lengths 5.560, 5.560, 9.596 Å; angles 109.25, 109.25, 45.73 degrees
Positions (direct):
Er 0.000 0.000 0.000
Er 0.111 0.111 0.395
Er 0.246 0.246 0.825
Er 0.754 0.754 0.175
Er 0.889 0.889 0.605
Ru 0.395 0.395 0.386
Ru 0.449 0.449 0.149
Ru 0.551 0.551 0.851
Ru 0.605 0.605 0.614

## Properties
Total moment: 0.00 μB per atom
Formation energy from the elements: -0.3180 eV per atom
Space-group type: C2/m

***

# 7
A plane-wave DFT calculation with PBE-GGA was carried out for Er3Ru after structural relaxation.

Cell lengths 6.245, 6.245, 6.245 Å; angles 147.13, 130.48, 60.72 degrees
Positions (direct):
Er 0.000 0.000 0.000
Er 0.302 0.802 0.500
Er 0.698 0.198 0.500
Ru 0.500 0.500 0.000

## Properties
Total moment: 0.00 μB per atom
Formation energy from the elements: -0.2643 eV per atom
Space-group type: Immm

***

# 8
A plane-wave DFT calculation with PBE-GGA was carried out for Er5Ru6 after structural relaxation.

Cell lengths 8.060, 8.060, 8.060 Å; angles 147.01, 129.28, 61.84 degrees
Positions (direct):
Er 0.000 0.000 0.000
Er 0.178 0.678 0.500
Er 0.357 0.357 0.000
Er 0.643 0.643 0.000
Er 0.822 0.322 0.500
Ru 0.084 0.836 0.248
Ru 0.214 0.500 0.714
Ru 0.412 0.164 0.248
Ru 0.588 0.836 0.752
Ru 0.786 0.500 0.286
Ru 0.916 0.164 0.752

## Properties
Total moment: 0.00 μB per atom
Formation energy from the elements: 0.0020 eV per atom
Space-group type: Immm